The following is a PBE-GGA calculation of crystalline Bi2TePb2 at its relaxed geometry, from the Alexandria database.

Output
Its formation energy (no corrections) is 0.1355 eV/atom. The value obtained for the total moment is 0.00 μB per cell. Its symmetry is I4/mmm (139). The volume is 33.583 A^3/atom. As for the total DFT energy (no corrections): -17.6 eV/cell.

```
Bi2TePb2
1.0
4.5363 0.0000 0.0000
0.0000 4.5363 0.0000
2.2681 2.2681 8.1599
Pb Te Bi
2 1 2
direct
0.7500 0.2500 0.5000
0.2500 0.7500 0.5000
0.0000 0.0000 0.0000
0.4026 0.4026 0.1948
0.5974 0.5974 0.8052
```

The following is a PBE-GGA calculation of crystalline BaLa2Mo at its relaxed geometry, from the Alexandria database.

Output
The value obtained for the total moment is 0.00 μB per cell. Its symmetry is Cm (8). The volume is 37.875 A^3/atom. As for the total DFT energy (no corrections): -20.7 eV/cell.

```
BaLa2Mo
1.0
5.4239 -0.0474 -0.0126
4.1403 3.5042 -0.0126
2.6904 0.9724 7.8825
Ba La Mo
1 2 1
direct
0.8440 0.8440 0.7113
0.0090 0.0090 0.0722
0.1948 0.1948 0.3834
0.4522 0.4522 0.3331
```